SmDyZn2Ga2: optimized geometry, PBE.

The structure in extended XYZ format:
```
6
Lattice="4.4374 0.0000 0.0000 -2.2187 3.8429 0.0000 0.0000 0.0000 7.3287" Properties=species:S:1:pos:R:3 pbc="T T T"
Sm 0.0000 0.0000 0.0000
Dy 0.0000 0.0000 3.6643
Zn 0.0000 2.5619 5.3831
Zn 2.2187 1.2810 1.9456
Ga 0.0000 2.5619 1.9077
Ga 2.2187 1.2810 5.4209
```

Properties
Energy = -21.32 eV for the cell shown
Symmetry = P-3m1
E_form = -567 meV/atom

Sm2Dy2ZnGa4: optimized geometry, PBE.

The structure in extended XYZ format:
```
9
Lattice="-3.5077 3.5077 4.3893 3.5077 -3.5077 4.3893 3.5077 3.5077 -4.3893" Properties=species:S:1:pos:R:3 pbc="T T T"
Sm 0.0000 0.0000 1.6505
Sm 0.0000 0.0000 7.1281
Dy 3.5077 0.0000 2.1946
Dy 0.0000 3.5077 2.1946
Zn 0.0000 0.0000 4.3893
Ga 1.8047 1.8047 0.0000
Ga 1.7030 -1.7030 4.3893
Ga -1.7030 1.7030 4.3893
Ga 1.7030 1.7030 4.3893
```

Properties
Energy = -34.48 eV for the cell shown
Symmetry = I4/mmm
E_form = -273 meV/atom

Dy4Ga12Sn: optimized geometry, PBE.

The structure in extended XYZ format:
```
17
Lattice="-4.4185 4.4185 4.4185 4.4185 -4.4185 4.4185 4.4185 4.4185 -4.4185" Properties=species:S:1:pos:R:3 pbc="T T T"
Dy 2.2093 2.2093 -2.2093
Dy 2.2093 -2.2093 2.2093
Dy -2.2093 2.2093 2.2093
Dy 2.2093 2.2093 2.2093
Ga 2.8217 0.0000 0.0000
Ga 6.0154 0.0000 0.0000
Ga 4.4185 2.2093 0.0000
Ga 4.4185 0.0000 2.2093
Ga 0.0000 2.8217 0.0000
Ga 0.0000 0.0000 2.8217
Ga 2.2093 4.4185 0.0000
Ga 2.2093 0.0000 4.4185
Ga 0.0000 6.0154 0.0000
Ga 0.0000 0.0000 6.0154
Ga 0.0000 4.4185 2.2093
Ga 0.0000 2.2093 4.4185
Sn 0.0000 0.0000 0.0000
```

Properties
Energy = -66.32 eV for the cell shown
Symmetry = Im-3m
E_form = -446 meV/atom

Dy2Ga2Sn7: optimized geometry, PBE.

The structure in extended XYZ format:
```
11
Lattice="5.9510 -4.8289 0.0000 5.9510 4.8289 0.0000 -2.8606 0.0000 5.1780" Properties=species:S:1:pos:R:3 pbc="T T T"
Dy 5.9510 3.0062 0.0000
Dy 5.9510 -3.0062 0.0000
Ga 1.4617 0.0000 2.0115
Ga 7.5797 0.0000 3.1666
Sn -1.4303 0.0000 2.5890
Sn 3.0054 2.3411 1.4973
Sn 6.0361 2.3411 3.6807
Sn 3.6670 0.0000 3.8424
Sn 5.3744 0.0000 1.3357
Sn 3.0054 -2.3411 1.4973
Sn 6.0361 -2.3411 3.6807
```

Properties
Energy = -45.03 eV for the cell shown
Symmetry = C2/m
E_form = -159 meV/atom

DyGa2Sn: optimized geometry, PBE.

The structure in extended XYZ format:
```
4
Lattice="4.4723 0.0000 0.0000 0.0000 4.4723 0.0000 0.0000 0.0000 4.3241" Properties=species:S:1:pos:R:3 pbc="T T T"
Dy 0.0000 0.0000 0.0000
Ga 0.0000 2.2361 2.1620
Ga 2.2361 0.0000 2.1620
Sn 2.2361 2.2361 0.0000
```

Properties
Energy = -16.61 eV for the cell shown
Symmetry = P4/mmm
E_form = -489 meV/atom

Dy6Ga2Sn: optimized geometry, PBE.

The structure in extended XYZ format:
```
18
Lattice="-4.8025 4.8217 5.3079 4.8025 -4.8217 5.3079 4.8025 4.8217 -5.3079" Properties=species:S:1:pos:R:3 pbc="T T T"
Dy 4.8025 -2.8665 3.4121
Dy 2.8560 0.0000 2.5411
Dy 6.7490 0.0000 2.5411
Dy 3.0339 2.6816 0.0000
Dy 6.5711 2.6816 0.0000
Dy 0.0000 1.9552 1.8958
Dy 4.8025 2.8665 3.4121
Dy -1.7686 2.1401 5.3079
Dy 1.7686 2.1401 5.3079
Dy -1.9465 4.8217 2.7668
Dy 1.9465 4.8217 2.7668
Dy 0.0000 7.6882 1.8958
Ga 1.3922 0.0000 0.0000
Ga 8.2128 0.0000 0.0000
Ga 0.0000 0.0000 4.0321
Ga 0.0000 0.0000 6.5837
Sn 4.8025 0.0000 0.0000
Sn 0.0000 4.8217 0.0000
```

Properties
Energy = -84.05 eV for the cell shown
Symmetry = Immm
E_form = -484 meV/atom

DyGa2Sn: optimized geometry, PBE.

The structure in extended XYZ format:
```
4
Lattice="3.6943 0.0000 0.0000 0.0000 3.6943 0.0000 0.0000 0.0000 6.5752" Properties=species:S:1:pos:R:3 pbc="T T T"
Dy 0.0000 0.0000 0.0000
Ga 1.8472 1.8472 1.7954
Ga 1.8472 1.8472 4.7798
Sn 0.0000 0.0000 3.2876
```

Properties
Energy = -15.86 eV for the cell shown
Symmetry = P4/mmm
E_form = -301 meV/atom

Dy2Ga3Sn2: optimized geometry, PBE.

The structure in extended XYZ format:
```
14
Lattice="-4.3782 4.3782 4.3782 4.3782 -4.3782 4.3782 4.3782 4.3782 -4.3782" Properties=species:S:1:pos:R:3 pbc="T T T"
Dy 4.3305 0.0476 -0.0476
Dy 0.0476 0.0476 0.0476
Dy 0.0476 -0.0476 4.3305
Dy -0.0476 4.3305 0.0476
Ga 4.3782 2.1891 -2.1348
Ga 2.1891 2.1348 0.0000
Ga 2.1348 0.0000 2.1891
Ga 2.1891 -2.1348 4.3782
Ga 0.0000 2.1891 2.1348
Ga -2.1348 4.3782 2.1891
Sn 6.0470 -1.6689 1.6689
Sn 1.6689 6.0470 -1.6689
Sn 2.7093 2.7093 2.7093
Sn -1.6689 1.6689 6.0470
```

Properties
Energy = -57.28 eV for the cell shown
Symmetry = I2_13
E_form = -336 meV/atom

DyGa2Sn: optimized geometry, PBE.

The structure in extended XYZ format:
```
4
Lattice="2.3313 1.3460 4.9141 -2.3313 1.3460 4.9141 0.0000 -2.6920 4.9141" Properties=species:S:1:pos:R:3 pbc="T T T"
Dy 0.0000 0.0000 0.0000
Ga 0.0000 0.0000 3.4171
Ga 0.0000 0.0000 11.3254
Sn 0.0000 0.0000 7.3712
```

Properties
Energy = -15.63 eV for the cell shown
Symmetry = R-3m
E_form = -242 meV/atom

Dy8Ga2Sn: optimized geometry, PBE.

The structure in extended XYZ format:
```
11
Lattice="8.3573 -2.4374 0.0000 8.3573 2.4374 0.0000 -2.9128 0.0000 7.3276" Properties=species:S:1:pos:R:3 pbc="T T T"
Dy 0.1469 0.0000 1.7146
Dy 0.5762 0.0000 5.4165
Dy 3.7557 0.0000 4.0597
Dy 6.5178 0.0000 0.2967
Dy 7.2840 0.0000 7.0310
Dy 10.0461 0.0000 3.2679
Dy 13.2255 0.0000 1.9111
Dy 13.6549 0.0000 5.6131
Ga 3.1406 0.0000 1.1773
Ga 10.6612 0.0000 6.1503
Sn 6.9009 0.0000 3.6638
```

Properties
Energy = -50.61 eV for the cell shown
Symmetry = C2/m
E_form = -339 meV/atom

Dy6GaSn2: optimized geometry, PBE.

The structure in extended XYZ format:
```
9
Lattice="8.2497 0.0000 0.0000 -4.1249 7.1445 0.0000 0.0000 0.0000 4.3074" Properties=species:S:1:pos:R:3 pbc="T T T"
Dy -1.6707 2.8937 0.0000
Dy -3.1038 5.3760 2.1537
Dy 1.0211 1.7685 2.1537
Dy 3.3413 0.0000 0.0000
Dy 2.4542 4.2508 0.0000
Dy 6.2076 0.0000 2.1537
Ga 0.0000 0.0000 0.0000
Sn 0.0000 4.7630 2.1537
Sn 4.1249 2.3815 2.1537
```

Properties
Energy = -43.39 eV for the cell shown
Symmetry = P-62m
E_form = -527 meV/atom

Dy4Ga3Sn: optimized geometry, PBE.

The structure in extended XYZ format:
```
8
Lattice="4.1082 0.0000 0.0000 0.0000 4.4158 0.0000 0.0000 0.0000 10.9981" Properties=species:S:1:pos:R:3 pbc="T T T"
Dy 0.0000 0.0000 0.0000
Dy 0.0000 2.2079 5.3510
Dy 2.0541 0.0000 7.8125
Dy 2.0541 2.2079 2.4039
Ga 0.0000 0.0000 3.0625
Ga 2.0541 0.0000 4.7483
Ga 2.0541 2.2079 10.3886
Sn 0.0000 2.2079 8.5373
```

Properties
Energy = -36.77 eV for the cell shown
Symmetry = Pmm2
E_form = -659 meV/atom